! In4MoIr | Alexandria via LeMat-Bulk | PBE | optimized geometry; values from VASP
! DOS(E_F): 6.64 states/eV/f.u.
! V: 125.1 Å³/cell
! SG: F-43m (216)
&SYSTEM
  ibrav = 0, nat = 6, ntyp = 3
/
ATOMIC_SPECIES
In 114.82 In.upf
Mo 95.94 Mo.upf
Ir 192.22 Ir.upf
CELL_PARAMETERS angstrom
-4.7147 -2.9014 -0.9308
-3.1028 -1.7770 4.3276
-4.9924 2.3523 1.0274
ATOMIC_POSITIONS crystal
In 0.3750 0.8751 0.3750
In 0.3750 0.3750 0.3750
In 0.3750 0.3750 0.8751
In 0.8751 0.3750 0.3750
Mo 0.0000 0.0000 0.0000
Ir 0.7500 0.7500 0.7500

---

! SrLaZr2 | Alexandria via LeMat-Bulk | PBE | optimized geometry; values from VASP
! DOS(E_F): 6.13 states/eV/f.u.
! V: 119.8 Å³/cell
! SG: R-3m (166)
! Energy above the lowest structure with this stoichiometry: 0.189 eV/atom
&SYSTEM
  ibrav = 0, nat = 4, ntyp = 3
/
ATOMIC_SPECIES
La 138.91 La.upf
Sr 87.62 Sr.upf
Zr 91.22 Zr.upf
CELL_PARAMETERS angstrom
11.6453 -0.0264 -0.0155
11.1352 3.4090 -0.0155
11.1352 1.6534 2.9812
ATOMIC_POSITIONS crystal
La 0.2500 0.2500 0.2500
Sr 0.7500 0.7500 0.7500
Zr 0.5053 0.5053 0.5053
Zr 0.9947 0.9947 0.9947

---

! TmPbS2 | Alexandria via LeMat-Bulk | PBE | optimized geometry; values from VASP
! DOS(E_F): 1.14 states/eV/f.u.
! V: 112.4 Å³/cell
! SG: R-3m (166)
&SYSTEM
  ibrav = 0, nat = 4, ntyp = 3
/
ATOMIC_SPECIES
S 32.06 S.upf
Tm 168.93 Tm.upf
Pb 207.20 Pb.upf
CELL_PARAMETERS angstrom
3.8757 0.0000 0.0000
1.9379 3.3565 0.0000
1.9379 1.1188 8.6419
ATOMIC_POSITIONS crystal
S 0.8905 0.8905 0.3285
S 0.1095 0.1095 0.6715
Tm 0.5000 0.5000 0.5000
Pb 0.0000 0.0000 0.0000

---

! Na3Sr2Tl8 | Alexandria via LeMat-Bulk | PBE | optimized geometry; values from VASP
! DOS(E_F): 9.45 states/eV/f.u.
! V: 432.8 Å³/cell
! SG: C2/m (12)
&SYSTEM
  ibrav = 0, nat = 13, ntyp = 3
/
ATOMIC_SPECIES
Sr 87.62 Sr.upf
Tl 204.38 Tl.upf
Na 22.99 Na.upf
CELL_PARAMETERS angstrom
6.7173 0.0000 0.8327
0.0000 8.5001 0.0000
-2.2005 -4.2501 7.3080
ATOMIC_POSITIONS crystal
Sr 0.7359 0.7823 0.5646
Sr 0.2641 0.2177 0.4354
Tl 0.5639 0.2101 0.7917
Tl 0.9019 0.5892 0.1783
Tl 0.4361 0.4183 0.2083
Tl 0.0981 0.4108 0.8217
Tl 0.4361 0.7899 0.2083
Tl 0.7665 0.2179 0.4359
Tl 0.2335 0.7821 0.5641
Tl 0.5639 0.5817 0.7917
Na 0.5000 0.0000 0.0000
Na 0.0000 0.8159 0.0000
Na 0.0000 0.1841 0.0000

---

! MnGePHCN | Alexandria via LeMat-Bulk | PBE | optimized geometry; values from VASP
! DOS(E_F): 2.06 states/eV/f.u.
! V: 63.9 Å³/cell
! SG: P1 (1)
! Energy above the lowest structure with this stoichiometry: 0.332 eV/atom
&SYSTEM
  ibrav = 0, nat = 6, ntyp = 6
/
ATOMIC_SPECIES
P 30.97 P.upf
Ge 72.64 Ge.upf
C 12.01 C.upf
Mn 54.94 Mn.upf
N 14.01 N.upf
H 1.01 H.upf
CELL_PARAMETERS angstrom
3.2073 -0.0080 -0.0103
-0.0212 4.3611 0.0283
-0.4716 -1.7758 4.5589
ATOMIC_POSITIONS crystal
P 0.2553 0.6948 0.3126
Ge 0.9180 0.8920 0.9374
C 0.9049 0.3976 0.6390
Mn 0.4125 0.1656 0.6838
N 0.0732 0.3580 0.3893
H 0.4722 0.4406 0.0667

---

! Li2TePd2O6 | Alexandria via LeMat-Bulk | PBE | optimized geometry; values from VASP
! DOS(E_F): 0.76 states/eV/f.u.
! V: 133.4 Å³/cell
! SG: C2/m (12)
&SYSTEM
  ibrav = 0, nat = 11, ntyp = 4
/
ATOMIC_SPECIES
Pd 106.42 Pd.upf
O 16.00 O.upf
Li 6.94 Li.upf
Te 127.60 Te.upf
CELL_PARAMETERS angstrom
5.4309 0.3153 -0.0431
-2.4101 4.8771 -0.0431
-1.1884 -2.0428 4.9301
ATOMIC_POSITIONS crystal
Pd 0.6670 0.3330 0.5000
Pd 0.3330 0.6670 0.5000
O 0.2346 0.2346 0.3116
O 0.3445 0.0230 0.7530
O 0.0230 0.3445 0.7530
O 0.7654 0.7654 0.6884
O 0.6555 0.9770 0.2470
O 0.9770 0.6555 0.2470
Li 0.7927 0.2073 0.0000
Li 0.2073 0.7927 0.0000
Te 0.0000 0.0000 0.5000

---

! HfMgPt5 | Alexandria via LeMat-Bulk | PBE | optimized geometry; values from VASP
! DOS(E_F): 6.76 states/eV/f.u.
! V: 122.2 Å³/cell
! SG: P4/mmm (123)
&SYSTEM
  ibrav = 0, nat = 7, ntyp = 3
/
ATOMIC_SPECIES
Mg 24.30 Mg.upf
Pt 195.08 Pt.upf
Hf 178.49 Hf.upf
CELL_PARAMETERS angstrom
3.9854 0.0000 0.0000
0.0000 3.9854 0.0000
0.0000 0.0000 7.6932
ATOMIC_POSITIONS crystal
Mg 0.5000 0.5000 0.0000
Pt 0.5000 0.5000 0.5000
Pt 0.0000 0.5000 0.7603
Pt 0.5000 0.0000 0.7603
Pt 0.5000 0.0000 0.2397
Pt 0.0000 0.5000 0.2397
Hf 0.0000 0.0000 0.5000

---

! CaAg2Rh2 | Alexandria via LeMat-Bulk | PBE | optimized geometry; values from VASP
! DOS(E_F): 5.46 states/eV/f.u.
! V: 98.6 Å³/cell
! SG: I4/mmm (139)
! Energy above the lowest structure with this stoichiometry: 0.055 eV/atom
&SYSTEM
  ibrav = 0, nat = 5, ntyp = 3
/
ATOMIC_SPECIES
Ag 107.87 Ag.upf
Rh 102.91 Rh.upf
Ca 40.08 Ca.upf
CELL_PARAMETERS angstrom
-2.8544 -2.2710 -1.1038
2.0717 -1.1540 -2.9832
2.1794 -6.7606 1.6946
ATOMIC_POSITIONS crystal
Ag 0.6013 0.6013 0.7975
Ag 0.3987 0.3987 0.2025
Rh 0.7500 0.2500 0.5000
Rh 0.2500 0.7500 0.5000
Ca 0.0000 0.0000 0.0000

---

For the records above, the corresponding electronic total energy values read -0.3024; -0.4042; -0.3991; -0.1537; -0.4607; -0.3867; -0.4930; -0.3195 Ry per atom.